Ti3Co2SbP6O24 | PBE+U | relaxed

Results
For the total energy, the calculation gives -7.46 eV per atom. The density of states at the Fermi level is 0.412 states/eV/atom.

a = 8.7690 Å, b = 8.7690 Å, c = 21.0632 Å
α = 90.00°, β = 90.00°, γ = 120.00°
Space group R3 (No. 146, hexagonal axes)
Inequivalent atoms, fractional coordinates:
Ti: 0.0000 0.0000 0.0000 (multiplicity 3)
Ti: 0.0000 0.0000 0.2119 (multiplicity 3)
Ti: 0.0000 0.0000 0.5015 (multiplicity 3)
Co: 0.0000 0.0000 0.3554 (multiplicity 3)
Co: 0.0000 0.0000 0.8581 (multiplicity 3)
Sb: 0.0000 0.0000 0.7132 (multiplicity 3)
P: 0.0032 0.3050 0.6055 (multiplicity 9)
P: 0.0138 0.7199 0.1079 (multiplicity 9)
O: 0.0013 0.1863 0.5499 (multiplicity 9)
O: 0.0053 0.8142 0.0461 (multiplicity 9)
O: 0.0340 0.8228 0.7877 (multiplicity 9)
O: 0.0444 0.8444 0.1637 (multiplicity 9)
O: 0.1132 0.4389 0.3361 (multiplicity 9)
O: 0.1611 0.4872 0.9380 (multiplicity 9)
O: 0.1743 0.6904 0.1012 (multiplicity 9)
O: 0.1768 0.4850 0.5991 (multiplicity 9)